DFT (PBE with a Hubbard U) results for a relaxed structure of Rb2V2CuP2O12.

The structure belongs to space group P2_1/c (No. 14); the cell edges are 5.074, 11.621 and 9.691 Å and the angles 90.00°, 94.67° and 90.00°. Symmetry generates all atoms from Rb at (0.071, 0.132, 0.391), V at (0.443, 0.615, 0.749), Cu at (0.000, 0.000, 0.000), P at (0.484, 0.638, 0.418), O at (0.128, 0.624, 0.779), O at (0.187, 0.609, 0.393), O at (0.339, 0.031, 0.116), O at (0.401, 0.028, 0.636), O at (0.437, 0.173, 0.930) and O at (0.439, 0.236, 0.179).

Its crystal system is monoclinic. Its raw total energy is -6.7342 eV per atom.